(1)
## Ge2Pt2Se (PBE)

Data for Ge2Pt2Se after structural relaxation.

Values from the calculation:
Raw formation energy = -0.10 eV/atom
Energy relative to the lowest polymorph listed for this composition = 0.0 meV per atom
Total energy = -5.062 eV per atom

Structure (extended XYZ):
```
10
Lattice="7.3753 0.0000 0.0000 0.0000 7.3753 0.0000 0.0000 0.0000 3.2526" Properties=species:S:1:pos:R:3 pbc="T T T"
Ge 1.1299 2.5577 0.0000
Ge 2.5577 6.2454 0.0000
Ge 4.8176 1.1299 0.0000
Ge 6.2454 4.8176 0.0000
Pt 1.0188 4.7064 1.6263
Pt 2.6689 1.0188 1.6263
Pt 4.7064 6.3565 1.6263
Pt 6.3565 2.6689 1.6263
Se 0.0000 0.0000 1.6263
Se 3.6876 3.6876 1.6263
```

=====

(2)
## Cd7Sn2 (PBE)

Data for Cd7Sn2 after structural relaxation.

Values from the calculation:
Total energy = -1.569 eV per atom
Energy relative to the elements = 0.033 eV per atom

Structure (extended XYZ):
```
9
Lattice="5.4354 0.0000 0.0000 -2.7177 4.7072 0.0000 0.0000 0.0000 8.4536" Properties=species:S:1:pos:R:3 pbc="T T T"
Cd 0.0000 0.0000 0.0000
Cd -0.9028 1.5637 5.5836
Cd -1.8149 3.1435 2.8700
Cd 1.8056 0.0000 5.5836
Cd 0.9028 1.5637 2.8700
Cd 3.6298 0.0000 2.8700
Cd 1.8149 3.1435 5.5836
Sn 0.0000 3.1381 0.0000
Sn 2.7177 1.5691 0.0000
```

=====

(3)
## TbNpBi (PBE)

Data for TbNpBi after structural relaxation.

Values from the calculation:
Total energy = -7.430 eV per atom
Energy relative to the elements = -0.279 eV per atom

Structure (extended XYZ):
```
6
Lattice="4.3361 0.0000 0.0000 0.0000 4.3361 0.0000 0.0000 0.0000 9.0065" Properties=species:S:1:pos:R:3 pbc="T T T"
Tb 1.0840 1.0840 1.2832
Tb 3.2521 3.2521 7.7232
Np 1.0840 3.2521 4.5032
Np 3.2521 1.0840 4.5032
Bi 1.0840 1.0840 7.0676
Bi 3.2521 3.2521 1.9388
```

=====

(4)
## AgSn2Ge2 (PBE)

Data for AgSn2Ge2 after structural relaxation.

Values from the calculation:
Energy relative to the lowest polymorph listed for this composition = 0.0 meV per atom
Total energy = -3.841 eV per atom
Energy relative to the elements = 0.177 eV per atom

Structure (extended XYZ):
```
10
Lattice="7.0037 0.0000 0.0000 0.0000 7.0037 0.0000 0.0000 0.0000 4.7087" Properties=species:S:1:pos:R:3 pbc="T T T"
Ag 0.0000 0.0000 0.0000
Ag 3.5018 3.5018 0.0000
Sn 1.3031 2.1988 2.3543
Sn 2.1988 5.7006 2.3543
Sn 4.8049 1.3031 2.3543
Sn 5.7006 4.8049 2.3543
Ge 0.9228 4.4246 0.0000
Ge 2.5791 0.9228 0.0000
Ge 4.4246 6.0809 0.0000
Ge 6.0809 2.5791 0.0000
```

=====

(5)
## HfNbIn2Ni (PBE)

Data for HfNbIn2Ni after structural relaxation.

Values from the calculation:
Total energy = -5.831 eV per atom
Energy relative to the elements = 0.425 eV per atom

Structure (extended XYZ):
```
5
Lattice="4.7054 0.0000 0.0000 0.0000 4.7054 0.0000 0.0000 0.0000 4.8086" Properties=species:S:1:pos:R:3 pbc="T T T"
Hf 0.0000 0.0000 0.0000
Nb 2.3527 2.3527 0.0000
In 0.0000 2.3527 2.4043
In 2.3527 0.0000 2.4043
Ni 2.3527 2.3527 2.4043
```

=====

(6)
## SnAsIr (PBE)

Data for SnAsIr after structural relaxation.

Values from the calculation:
Energy relative to the lowest polymorph listed for this composition = 0.0 meV per atom
Total energy = -6.153 eV per atom
Energy relative to the elements = -0.315 eV per atom

Structure (extended XYZ):
```
12
Lattice="6.4801 0.0000 0.0000 0.0000 6.3590 0.0000 -2.5574 0.0000 6.0416" Properties=species:S:1:pos:R:3 pbc="T T T"
Sn -0.0476 0.8629 2.2937
Sn -1.3264 2.3166 5.3145
Sn 5.2490 4.0424 0.7271
Sn 3.9703 5.4961 3.7479
As 0.5209 4.0136 4.0868
As 1.7997 5.5249 1.0661
As 2.1230 0.8341 4.9755
As 3.4017 2.3454 1.9547
Ir 1.1325 3.2894 1.8423
Ir -0.1462 6.2492 4.8631
Ir 4.0688 0.1099 1.1785
Ir 2.7901 3.0696 4.1993
```

=====

(7)
## Ag2RuRh (PBE)

Data for Ag2RuRh after structural relaxation.

Values from the calculation:
Energy relative to the lowest polymorph listed for this composition = 0.0 meV per atom
Total energy = -5.372 eV per atom
Energy relative to the elements = 0.211 eV per atom

Structure (extended XYZ):
```
4
Lattice="2.7955 0.0000 0.0000 0.0000 2.7955 0.0000 0.0000 0.0000 8.1542" Properties=species:S:1:pos:R:3 pbc="T T T"
Ag 0.0000 0.0000 0.0000
Ag 1.3978 1.3978 2.1967
Ru 1.3978 1.3978 6.0231
Rh 0.0000 0.0000 4.3361
```

=====

(8)
## YTl2Br5 (PBE)

Data for YTl2Br5 after structural relaxation.

Values from the calculation:
Raw formation energy = -1.37 eV/atom
Energy relative to the lowest polymorph listed for this composition = 0.0 meV per atom
Total energy = -3.820 eV per atom

Structure (extended XYZ):
```
16
Lattice="8.6825 -3.9779 0.0000 8.6825 3.9779 0.0000 -5.6753 0.0000 8.8549" Properties=species:S:1:pos:R:3 pbc="T T T"
Y 5.8448 3.9733 4.4274
Y 8.6825 -3.9733 0.0000
Tl 5.9622 0.2319 0.0206
Tl 3.1245 -0.2319 4.4481
Tl 8.5564 0.2152 4.4059
Tl 5.7188 -0.2152 8.8334
Br 2.4448 0.7580 1.1471
Br 4.4222 2.7784 6.6423
Br 5.6674 1.4835 3.1989
Br -0.3929 -0.7580 5.5745
Br 8.8564 1.4978 1.2372
Br 2.8297 -1.4835 7.6264
Br 12.0803 0.7456 3.2807
Br 6.0188 -1.4978 5.6647
Br 7.2598 -2.7784 2.2148
Br 9.2426 -0.7456 7.7081
```

=====

- Which value of total energy does entry 6 give?
  -6.153 eV per atom